VASP calculation (PBE) on crystalline NaPt at its relaxed geometry.

Summary:
E_form = -0.02 eV per atom

Cell: 4.6516 4.6516 4.6516 Å, 60.00 60.00 60.00°
Closest atoms and distances in Å follow each position.
Fractional coordinates of all 4 atoms:
Na 0.0000 0.0000 0.0000  4 Pt 2.85, 4 Na 2.85
Na 0.7500 0.7500 0.7500  4 Pt 2.85, 4 Na 2.85
Pt 0.2500 0.2500 0.2500  4 Na 2.85, 4 Pt 2.85
Pt 0.5000 0.5000 0.5000  4 Na 2.85, 4 Pt 2.85

VASP calculation (PBE) on crystalline RbTbZnCl6 at its relaxed geometry.

Summary:
E_form (uncorrected) = -177 kJ per mole of atoms

Cell: 6.7660 6.7660 14.6172 Å, 90.00 90.00 120.00°
Closest atoms and distances in Å follow each position.
Fractional coordinates of all 18 atoms:
Rb 0.0000 0.0000 0.0000  6 Cl 3.35
Rb 0.0000 0.0000 0.5000  6 Cl 3.35
Tb 0.3333 0.6667 0.2500  6 Cl 2.67
Tb 0.6667 0.3333 0.7500  6 Cl 2.67
Zn 0.6667 0.3333 0.2500  6 Cl 2.51
Zn 0.3333 0.6667 0.7500  6 Cl 2.51
Cl 0.6323 0.6142 0.1489  1 Zn 2.51, 1 Tb 2.67
Cl 0.9819 0.3677 0.1489  1 Zn 2.51, 1 Tb 2.67
Cl 0.3677 0.9819 0.6489  1 Zn 2.51, 1 Tb 2.67
Cl 0.0181 0.6323 0.8511  1 Zn 2.51, 1 Tb 2.67
Cl 0.3858 0.3677 0.3511  1 Zn 2.51, 1 Tb 2.67
Cl 0.9819 0.6142 0.3511  1 Zn 2.51, 1 Tb 2.67
Cl 0.6142 0.9819 0.8511  1 Zn 2.51, 1 Tb 2.67
Cl 0.6323 0.0181 0.3511  1 Zn 2.51, 1 Tb 2.67
Cl 0.0181 0.3858 0.6489  1 Zn 2.51, 1 Tb 2.67
Cl 0.3858 0.0181 0.1489  1 Zn 2.51, 1 Tb 2.67
Cl 0.6142 0.6323 0.6489  1 Zn 2.51, 1 Tb 2.67
Cl 0.3677 0.3858 0.8511  1 Zn 2.51, 1 Tb 2.67

Spin magnetization
In order: 0.00; 0.00
Unit: μB per formula unit